No. 1
{
  "formula": "PrSmAl2Pd4",
  "functional": "PBE-GGA",
  "state": "optimized geometry",
  "lattice_angstrom": [[-3.396, -0.322, 2.792], [2.539, -3.515, -0.797], [5.674, 2.468, 7.187]],
  "species": ["Al", "Al", "Pd", "Pd", "Pd", "Pd", "Pr", "Sm"],
  "frac_coords": [[0.667, 0.333, 0.254], [0.667, 0.333, 0.746], [0.333, 0.667, 0.182], [0.000, 0.000, 0.327], [0.000, 0.000, 0.673], [0.333, 0.667, 0.818], [0.000, 0.000, 0.000], [0.333, 0.667, 0.500]],
  "final_energy_ev_per_atom": -5.60,
  "magmom_total_mub_per_cell": 0.00
}

---

No. 2
{
  "formula": "PrSm2Al2Pd4",
  "functional": "PBE-GGA",
  "state": "optimized geometry",
  "lattice_angstrom": [[-5.286, 1.039, -1.579], [-2.974, -0.908, -4.674], [-1.481, -7.701, 3.739]],
  "species": ["Al", "Al", "Pd", "Pd", "Pd", "Pd", "Pr", "Sm", "Sm"],
  "frac_coords": [[0.321, 0.321, 0.215], [0.679, 0.679, 0.785], [0.718, 0.718, 0.090], [0.913, 0.913, 0.362], [0.087, 0.087, 0.638], [0.282, 0.282, 0.910], [0.000, 0.000, 0.000], [0.624, 0.624, 0.387], [0.376, 0.376, 0.613]],
  "final_energy_ev_per_atom": -5.54,
  "magmom_total_mub_per_cell": 0.01
}

---

No. 3
{
  "formula": "PrAlSnPd2",
  "functional": "PBE-GGA",
  "state": "optimized geometry",
  "lattice_angstrom": [[4.522, 0.000, 0.000], [0.000, 4.522, 0.000], [0.000, 0.000, 10.309]],
  "species": ["Al", "Al", "Pd", "Pd", "Pd", "Pd", "Pr", "Pr", "Sn", "Sn"],
  "frac_coords": [[0.000, 0.000, 0.500], [0.500, 0.500, 0.500], [0.000, 0.000, 0.000], [0.500, 0.500, 0.000], [0.500, 0.000, 0.393], [0.000, 0.500, 0.607], [0.000, 0.500, 0.249], [0.500, 0.000, 0.751], [0.500, 0.000, 0.140], [0.000, 0.500, 0.860]],
  "final_energy_ev_per_atom": -5.40,
  "magmom_total_mub_per_cell": 0.00
}

---

No. 4
{
  "formula": "TbPrAl2Pd4",
  "functional": "PBE-GGA",
  "state": "optimized geometry",
  "lattice_angstrom": [[4.402, 0.000, 0.000], [-2.201, 3.812, 0.000], [0.000, 0.000, 9.291]],
  "species": ["Al", "Al", "Pd", "Pd", "Pd", "Pd", "Pr", "Tb"],
  "frac_coords": [[0.667, 0.333, 0.256], [0.667, 0.333, 0.744], [0.333, 0.667, 0.183], [0.000, 0.000, 0.333], [0.000, 0.000, 0.667], [0.333, 0.667, 0.817], [0.000, 0.000, 0.000], [0.333, 0.667, 0.500]],
  "final_energy_ev_per_atom": -5.60,
  "magmom_total_mub_per_cell": 0.00
}